Entry 1:
Here is a relaxed LaTbSm4Dy2 crystal from the Alexandria database. Energies are from GGA-PBE.

Unit cell a=6.2373 b=3.6236 c=12.0065 alpha=90.00 beta=100.17 gamma=90.00
Last column: nearest neighbours and their distance in Å.
Space group P2/m (No. 10)
Symmetry-distinct sites (fractional):
1 La 0.0000 0.0000 0.0000 x1  4 Dy 3.61, 2 La 3.62, 6 Sm 3.64-3.65
2 Tb 0.0000 0.5000 0.5000 x1  6 Sm 3.58-3.60, 4 Dy 3.61, 2 Tb 3.62
3 Sm 0.2505 0.0000 0.7481 x2  3 Dy 3.60-3.63, 2 Tb 3.60, 6 Sm 3.60-3.62, 1 La 3.64
4 Sm 0.2507 0.5000 0.2539 x2  1 Tb 3.58, 3 Dy 3.58-3.66, 6 Sm 3.60-3.62, 2 La 3.65
5 Dy 0.5000 0.0000 0.5000 x1  6 Sm 3.58-3.60, 4 Tb 3.61, 2 Dy 3.62
6 Dy 0.5000 0.5000 0.0000 x1  4 La 3.61, 2 Dy 3.62, 6 Sm 3.63-3.66

Values from the calculation:
As for the formation energy from the elements: 14.9 kJ/mol of formula units.

=====

Entry 2:
Here is a relaxed RbScGe crystal from the Alexandria database. Energies are from GGA-PBE.

Unit cell a=4.6372 b=4.6389 c=12.8917 alpha=79.82 beta=89.86 gamma=60.01
Last column: nearest neighbours and their distance in Å.
Space group P1 (No. 1)
Symmetry-distinct sites (fractional):
1 Rb 0.0000 0.0000 0.0000 x1  3 Ge 3.51
2 Rb 0.2063 0.5800 0.6516 x1  1 Ge 3.54
3 Sc 0.4587 0.0766 0.3954 x1  4 Ge 2.70-2.72
4 Sc 0.7466 0.5027 0.2527 x1  6 Ge 2.83-3.07
5 Ge 0.1176 0.7590 0.3708 x1  3 Sc 2.70
6 Ge 0.3903 0.2163 0.1801 x1  4 Sc 2.72-2.83

Values from the calculation:
As for the formation energy from the elements: -64.7 kJ/mol of formula units. As for the energy above the most stable polymorph in this dataset: 137 meV per atom.

=====

Entry 3:
Here is a relaxed In2ReBr crystal from the Alexandria database. Energies are from GGA-PBE.

Unit cell a=3.3738 b=3.2798 c=8.1726 alpha=90.00 beta=90.12 gamma=90.00
Last column: nearest neighbours and their distance in Å.
Space group P2/m (No. 10)
Symmetry-distinct sites (fractional):
1 In 0.0011 0.0000 0.1950 x2  4 Re 2.84, 2 Br 2.98
2 Re 0.5000 0.5000 0.0000 x1  8 In 2.84
3 Br 0.0000 0.5000 0.5000 x1  4 In 2.98, 2 Br 3.28

Values from the calculation:
The calculation puts the uncorrected formation energy at 320.6 meV/atom. As for the energy above the most stable polymorph in this dataset: 0 meV per atom.

=====

Entry 4:
Here is a relaxed Ca2SiNi6Ge crystal from the Alexandria database. Energies are from GGA-PBE.

Unit cell a=6.2163 b=6.2163 c=15.2093 alpha=90.00 beta=90.00 gamma=120.00
Last column: nearest neighbours and their distance in Å.
Space group R-3m (No. 166, hexagonal axes)
Symmetry-distinct sites (fractional):
1 Ca 0.0000 0.0000 0.2500 x6  12 Ni 3.11
2 Si 0.0000 0.0000 0.0000 x3  6 Ni 2.15
3 Ni 0.0071 0.5036 0.7482 x18  1 Si 2.15, 1 Ge 2.24
4 Ge 0.0000 0.0000 0.5000 x3  6 Ni 2.24

Values from the calculation:
The calculation puts the uncorrected formation energy at -55.6 meV/atom.